# K2Hg6PdAu

A relaxed structure of K2Hg6PdAu (PBE-GGA, Alexandria via LeMat-Bulk).

Cell lengths 8.0601, 7.3825, 10.5084 Å; angles 90.00, 90.00, 90.00 degrees
Closest atoms and distances in Å follow each position.
Element x y z (fractional)
Hg (0.0000, 0.7625, 0.7514)  1 Pd 2.72, 1 Au 2.81
Hg (0.2225, 0.5875, 0.0000)  1 Pd 2.71, 1 Au 2.76
Hg (0.7724, 0.9240, 0.5000)  1 Pd 2.70, 1 Au 2.83
Hg (0.7276, 0.0760, 0.0000)  1 Pd 2.70, 1 Au 2.83
Hg (0.7775, 0.5875, 0.0000)  1 Pd 2.71, 1 Au 2.76
Hg (0.7225, 0.4125, 0.5000)  1 Pd 2.71, 1 Au 2.76
Hg (0.2724, 0.0760, 0.0000)  1 Pd 2.70, 1 Au 2.83
Hg (0.2775, 0.4125, 0.5000)  1 Pd 2.71, 1 Au 2.76
Hg (0.5000, 0.2375, 0.7486)  1 Pd 2.72, 1 Au 2.81
Hg (0.2276, 0.9240, 0.5000)  1 Pd 2.70, 1 Au 2.83
Hg (0.0000, 0.7625, 0.2486)  1 Pd 2.72, 1 Au 2.81
Hg (0.5000, 0.2375, 0.2514)  1 Pd 2.72, 1 Au 2.81
Au (0.5000, 0.3682, 0.0000)  6 Hg 2.76-2.83
Au (0.0000, 0.6318, 0.5000)  6 Hg 2.76-2.83
K (0.5000, 0.7423, 0.7473)  12 Hg 3.66-4.06, 1 Au 3.83, 1 Pd 3.90
K (0.0000, 0.2577, 0.2473)  12 Hg 3.66-4.06, 1 Au 3.83, 1 Pd 3.90
K (0.0000, 0.2577, 0.7527)  12 Hg 3.66-4.06, 1 Au 3.83, 1 Pd 3.90
K (0.5000, 0.7423, 0.2527)  12 Hg 3.66-4.06, 1 Au 3.83, 1 Pd 3.90
Pd (0.0000, 0.8635, 0.0000)  6 Hg 2.70-2.72
Pd (0.5000, 0.1365, 0.5000)  6 Hg 2.70-2.72

For the total energy, the calculation gives -29.1 eV/cell. The calculation puts the formation energy from the elements at -0.207 eV per atom. As for the space-group type: No. 59. The magnetic moment comes out at 0.00 μB per formula unit.